## CeTl3Cl6 (PBE)

Data for CeTl3Cl6 after structural relaxation.

Lattice parameters (Å, degrees): 7.630 8.333 13.113 90.00 122.62 90.00
Space group P2_1/c (No. 14)
Asymmetric unit:
Ce: 0.000 0.000 0.000
Tl: 0.292 0.066 0.770
Tl: 0.500 0.000 0.500
Cl: 0.097 0.071 0.232
Cl: 0.250 0.728 0.085
Cl: 0.346 0.167 0.042

Calculated values
Crystal system: monoclinic
Formation energy (no corrections): -1.52 eV per atom
Volume: 702.2 Å³ per cell


## CeTlCl4 (PBE)

Data for CeTlCl4 after structural relaxation.

Lattice parameters (Å, degrees): 7.732 4.327 19.795 90.00 90.00 90.00
Space group Pnma (No. 62)
Asymmetric unit:
Ce: 0.248 0.250 0.059
Tl: 0.209 0.750 0.292
Cl: 0.007 0.750 0.438
Cl: 0.094 0.750 0.135
Cl: 0.094 0.750 0.694
Cl: 0.143 0.750 0.965

Calculated values
Crystal system: orthorhombic
Formation energy (no corrections): -1.82 eV per atom
Volume: 662.3 Å³ per cell
Energy relative to the lowest polymorph listed for this composition: 0.00 eV per formula unit


## Ce2TlCl (PBE)

Data for Ce2TlCl after structural relaxation.

Lattice parameters (Å, degrees): 3.513 3.513 8.325 90.00 90.00 90.00
Space group P4/mmm (No. 123)
Asymmetric unit:
Ce: 0.000 0.000 0.233
Tl: 0.500 0.500 0.500
Cl: 0.500 0.500 0.000

Calculated values
Crystal system: tetragonal
Formation energy (no corrections): -0.69 eV per atom
Volume: 102.8 Å³ per cell
Energy relative to the lowest polymorph listed for this composition: 0.20 eV per formula unit


## CeTlCl (PBE)

Data for CeTlCl after structural relaxation.

Lattice parameters (Å, degrees): 3.872 4.837 10.887 90.00 100.23 90.00
Space group P2_1/m (No. 11)
Asymmetric unit:
Ce: 0.101 0.250 0.202
Tl: 0.456 0.250 0.913
Cl: 0.308 0.750 0.615

Calculated values
Crystal system: monoclinic
Formation energy (no corrections): -0.99 eV per atom
Volume: 200.7 Å³ per cell


## Ce2TlCl8 (PBE)

Data for Ce2TlCl8 after structural relaxation.

Lattice parameters (Å, degrees): 8.603 12.757 5.492 90.00 99.98 90.00
Space group C2/m (No. 12)
Asymmetric unit:
Ce: 0.000 0.180 0.000
Tl: 0.000 0.500 0.500
Cl: 0.000 0.241 0.500
Cl: 0.099 0.000 0.278
Cl: 0.192 0.363 0.076

Calculated values
Crystal system: monoclinic
Formation energy (no corrections): -1.89 eV per atom
Volume: 593.7 Å³ per cell


## CeTlVCl6 (PBE)

Data for CeTlVCl6 after structural relaxation.

Lattice parameters (Å, degrees): 6.8185 6.8185 14.2667 90.00 90.00 120.00
Space group P-31c (No. 163)
Asymmetric unit:
Ce: 0.3333 0.6667 0.2500
Tl: 0.0000 0.0000 0.0000
V: 0.3333 0.6667 0.7500
Cl: 0.0328 0.3803 0.6462

Calculated values
Crystal system: trigonal
Formation energy (no corrections): -1.60 eV per atom
Volume: 574.4 Å³ per cell


## CeTmCl (PBE)

Data for CeTmCl after structural relaxation.

Lattice parameters (Å, degrees): 3.5377 3.5377 7.3486 90.00 90.00 120.00
Space group P3m1 (No. 156)
Asymmetric unit:
Ce: 0.0000 0.0000 0.0000
Tm: 0.6667 0.3333 0.3796
Cl: 0.3333 0.6667 0.6576

Calculated values
Crystal system: trigonal
Formation energy (no corrections): -0.82 eV per atom
Volume: 79.6 Å³ per cell


## CeTmCl2 (PBE)

Data for CeTmCl2 after structural relaxation.

Lattice parameters (Å, degrees): 3.6123 3.6123 28.3339 90.00 90.00 120.00
Space group R-3m (No. 166, hexagonal axes)
Asymmetric unit:
Ce: 0.0000 0.0000 0.0000
Tm: 0.0000 0.0000 0.5000
Cl: 0.0000 0.0000 0.4063

Calculated values
Crystal system: trigonal
Formation energy (no corrections): -1.29 eV per atom
Volume: 320.2 Å³ per cell